Material: CrRe2Si
Method: DFT, PBE
State: optimized geometry

- crystal system = trigonal
- space group = R-3m (166)
- formation energy without anion corrections (eV per formula unit) = 0.29
- magnetization (μB per cell) = 0.00

Unit cell a=8.435 b=8.435 c=8.435 alpha=18.90 beta=18.90 gamma=18.90
Fractional positions:
Re (0.500, 0.500, 0.500)
Si (0.250, 0.250, 0.250)
Re (0.000, 0.000, 0.000)
Cr (0.750, 0.750, 0.750)

Material: AgMoBr2
Method: DFT, PBE
State: optimized geometry

- crystal system = trigonal
- space group = R-3m (166)
- formation energy without anion corrections (eV per formula unit) = 0.72
- magnetization (μB per cell) = 0.00

Unit cell a=10.615 b=10.615 c=10.615 alpha=17.63 beta=17.63 gamma=17.63
Fractional positions:
Ag (0.750, 0.750, 0.750)
Mo (0.250, 0.250, 0.250)
Br (0.525, 0.525, 0.525)
Br (0.975, 0.975, 0.975)

Material: RbNaTe2
Method: DFT, PBE
State: optimized geometry

- crystal system = tetragonal
- space group = I-42d (122)
- formation energy without anion corrections (eV per formula unit) = -2.78
- magnetization (μB per cell) = 0.00

Unit cell a=6.011 b=6.011 c=11.033 alpha=74.19 beta=74.19 gamma=90.00
Fractional positions:
Rb (0.000, 0.000, 0.000)
Na (0.250, 0.750, 0.500)
Te (0.444, 0.125, 0.250)
Na (0.500, 0.500, 0.000)
Te (0.875, 0.694, 0.750)
Te (0.306, 0.625, 0.250)
Rb (0.750, 0.250, 0.500)
Te (0.375, 0.556, 0.750)

Material: Cs2Tl4Hg
Method: DFT, PBE
State: optimized geometry

- crystal system = tetragonal
- space group = I4/mmm (139)
- energy relative to the elements (eV per atom) = 0.108
- magnetization (μB per cell) = 0.00

Unit cell a=5.941 b=5.941 c=10.868 alpha=74.14 beta=74.14 gamma=90.00
Fractional positions:
Hg (0.000, 0.000, 0.000)
Tl (0.852, 0.852, 0.295)
Tl (0.000, 0.500, 0.000)
Tl (0.148, 0.148, 0.705)
Cs (0.652, 0.652, 0.696)
Cs (0.348, 0.348, 0.304)
Tl (0.500, 0.000, 0.000)

Material: Pr3Er2TmTe6
Method: DFT, PBE
State: optimized geometry

- crystal system = monoclinic
- space group = C2/m (12)
- formation energy without anion corrections (eV per formula unit) = -15.96
- magnetization (μB per cell) = 0.00

Unit cell a=4.338 b=9.031 c=9.997 alpha=105.81 beta=102.53 gamma=90.00
Fractional positions:
Er (0.833, 0.666, 0.666)
Pr (0.833, 0.167, 0.666)
Te (0.670, 0.573, 0.341)
Te (0.338, 0.907, 0.676)
Te (0.996, 0.761, 0.992)
Tm (0.500, 0.000, 0.000)
Er (0.167, 0.334, 0.334)
Pr (0.167, 0.833, 0.334)
Pr (0.500, 0.500, 0.000)
Te (0.662, 0.093, 0.324)
Te (0.330, 0.427, 0.659)
Te (0.004, 0.239, 0.008)

Material: Ir2Pt2Rh7
Method: DFT, PBE
State: optimized geometry

- crystal system = monoclinic
- space group = C2/m (12)
- energy relative to the elements (eV per atom) = 0.215
- magnetization (μB per cell) = 0.00

Unit cell a=6.531 b=5.085 c=5.085 alpha=92.47 beta=97.02 gamma=97.02
Fractional positions:
Rh (0.192, 0.531, 0.910)
Pt (0.500, 0.311, 0.689)
Rh (0.192, 0.910, 0.531)
Rh (0.144, 0.392, 0.392)
Rh (0.856, 0.608, 0.608)
Ir (0.574, 0.838, 0.838)
Rh (0.000, 0.000, 0.000)
Ir (0.426, 0.162, 0.162)
Pt (0.500, 0.689, 0.311)
Rh (0.808, 0.469, 0.090)
Rh (0.808, 0.090, 0.469)

Material: Ca2Ga3Ru
Method: DFT, PBE
State: optimized geometry

- crystal system = trigonal
- space group = R-3m (166)
- energy relative to the elements (eV per atom) = -0.426
- magnetization (μB per cell) = 0.00

Unit cell a=5.556 b=5.556 c=5.408 alpha=89.91 beta=120.94 gamma=120.07
Fractional positions:
Ru (0.000, 0.000, 0.000)
Ca (0.743, 0.372, 0.115)
Ga (0.000, 0.000, 0.500)
Ga (0.500, 0.500, 0.500)
Ca (0.257, 0.628, 0.885)
Ga (0.500, 0.000, 0.500)

Material: Hf2TaCd
Method: DFT, PBE
State: optimized geometry

- crystal system = tetragonal
- space group = P4/mmm (123)
- energy relative to the elements (eV per atom) = 0.022
- magnetization (μB per cell) = 0.00

Unit cell a=3.433 b=3.433 c=7.117 alpha=90.00 beta=90.00 gamma=90.00
Fractional positions:
Hf (0.000, 0.000, 0.229)
Cd (0.500, 0.500, 0.500)
Hf (0.000, 0.000, 0.771)
Ta (0.500, 0.500, 0.000)